# 1
Density functional theory data (GGA-PBE) for Cd2TePt after structural relaxation.

Unit cell a=5.1149 b=5.1149 c=6.5370 alpha=111.25 beta=111.25 gamma=40.52
Sites, in units of the cell vectors:
1 Cd 0.0000 0.0000 0.0000
2 Cd 0.2142 0.2142 0.7486
3 Te 0.3536 0.3536 0.4216
4 Pt 0.7454 0.7454 0.0952

Computed properties:
Size of the total moment   0.00 μB per formula unit
DOS at the Fermi energy   1.77 states/eV per cell
SG   Cm, No. 8
ΔE_f (raw)   -160 meV/atom
Uncorrected energy   -2.91 eV per atom

# 2
Density functional theory data (GGA-PBE) for CdTePt4 after structural relaxation.

Unit cell a=5.3980 b=5.3980 c=5.3980 alpha=60.00 beta=60.00 gamma=60.00
Sites, in units of the cell vectors:
1 Cd 0.0000 0.0000 0.0000
2 Te 0.2500 0.2500 0.2500
3 Pt 0.1251 0.6250 0.6250
4 Pt 0.6250 0.1251 0.6250
5 Pt 0.6250 0.6250 0.1251
6 Pt 0.6250 0.6250 0.6250

Computed properties:
Size of the total moment   0.00 μB per formula unit
DOS at the Fermi energy   2.16 states/eV per cell
SG   F-43m, No. 216
ΔE_f (raw)   13 meV/atom
Uncorrected energy   -4.69 eV per atom

# 3
Density functional theory data (GGA-PBE) for CdTe2Pt after structural relaxation.

Unit cell a=7.4156 b=7.4156 c=7.4156 alpha=32.08 beta=32.08 gamma=32.08
Sites, in units of the cell vectors:
1 Cd 0.0000 0.0000 0.0000
2 Te 0.2340 0.2340 0.2340
3 Te 0.7660 0.7660 0.7660
4 Pt 0.5000 0.5000 0.5000

Computed properties:
Size of the total moment   0.00 μB per formula unit
DOS at the Fermi energy   2.24 states/eV per cell
SG   R-3m, No. 166
ΔE_f (raw)   -254 meV/atom
Uncorrected energy   -3.56 eV per atom

# 4
Density functional theory data (GGA-PBE) for Cd2TePt after structural relaxation.

Unit cell a=3.8325 b=3.8325 c=6.0722 alpha=90.00 beta=90.00 gamma=90.00
Sites, in units of the cell vectors:
1 Cd 0.0000 0.0000 0.0000
2 Cd 0.5000 0.5000 0.2894
3 Te 0.5000 0.5000 0.7675
4 Pt 0.0000 0.0000 0.4521

Computed properties:
Size of the total moment   0.00 μB per formula unit
DOS at the Fermi energy   1.31 states/eV per cell
SG   P4mm, No. 99
ΔE_f (raw)   -6 meV/atom
Uncorrected energy   -2.76 eV per atom

# 5
Density functional theory data (GGA-PBE) for CdTe2Pt after structural relaxation.

Unit cell a=7.7282 b=7.7282 c=7.7282 alpha=131.28 beta=131.28 gamma=71.37
Sites, in units of the cell vectors:
1 Cd 0.0000 0.0000 0.0000
2 Cd 0.7500 0.2500 0.5000
3 Te 0.1641 0.6250 0.0391
4 Te 0.3750 0.4141 0.5391
5 Te 0.5859 0.1250 0.9609
6 Te 0.8750 0.8359 0.4609
7 Pt 0.2500 0.7500 0.5000
8 Pt 0.5000 0.5000 0.0000

Computed properties:
Size of the total moment   0.00 μB per formula unit
DOS at the Fermi energy   2.55 states/eV per cell
SG   I-42d, No. 122
ΔE_f (raw)   -200 meV/atom
Uncorrected energy   -3.51 eV per atom

# 6
Density functional theory data (GGA-PBE) for CdTePt2 after structural relaxation.

Unit cell a=2.9762 b=4.9862 c=5.3313 alpha=90.00 beta=90.03 gamma=90.00
Sites, in units of the cell vectors:
1 Cd 0.0000 0.0000 0.0000
2 Te 0.4986 0.5000 0.6266
3 Pt 0.5003 0.0000 0.4650
4 Pt 0.4999 0.5000 0.1220

Computed properties:
Size of the total moment   0.00 μB per formula unit
DOS at the Fermi energy   1.80 states/eV per cell
SG   Pm, No. 6
Energy above the most stable polymorph in this dataset   19.0 meV per atom
ΔE_f (raw)   -104 meV/atom
Uncorrected energy   -4.14 eV per atom